This record from Alexandria describes crystalline CsBa2PrBr8 at its relaxed geometry. The functional is GGA-PBE.

It has space group P2/m (No. 10), with a = 7.307 Å, b = 10.171 Å, c = 7.386 Å, α = 90.00°, β = 90.22° and γ = 90.00°. The asymmetric unit holds Cs at (0.000, 0.000, 0.000), Ba at (0.500, 0.251, 0.500), Pr at (0.000, 0.500, 0.000), Br at (0.234, 0.295, 0.849), Br at (0.247, 0.500, 0.325) and Br at (0.261, 0.000, 0.396).

The size of the total moment is 0.000 μB per formula unit. The density of states at the Fermi level comes out at 0.00 states/eV/atom. As for the energy relative to the elements, uncorrected: -1.9924 eV/atom. The electronic total energy comes out at -46.77 eV/cell. The crystal system is monoclinic.